[1]
VASP calculation (PBE-GGA) on a relaxed Mg2Si3 crystal.

Its uncorrected formation energy is 108 meV per atom. The energy comes out at -3.784 eV per atom. As for the crystal system: triclinic. The calculation puts the size of the total moment at 0.00 μB/f.u. The value obtained for the energy above the most stable polymorph in this dataset is 1.82 kcal/mol of atoms. Its volume is 179.3 Å³/cell.

The structure belongs to space group P-1 (No. 2); the cell edges are 4.516, 5.552 and 8.137 Å and the angles 86.93°, 74.43° and 66.09°. The asymmetric unit holds Mg at (0.165, 0.201, 0.469), Mg at (0.187, 0.493, 0.134), Si at (0.142, 0.943, 0.768), Si at (0.421, 0.492, 0.659) and Si at (0.489, 0.883, 0.142).

=====

[2]
VASP calculation (PBE-GGA) on a relaxed Tl2MoBr6 crystal.

Its uncorrected formation energy is -691 meV per atom. The energy comes out at -3.535 eV per atom. As for the crystal system: monoclinic. The calculation puts the size of the total moment at 2.00 μB/f.u. The value obtained for the energy above the most stable polymorph in this dataset is 0.00 kcal/mol of atoms. Its volume is 613.6 Å³/cell.

The structure belongs to space group P2_1/c (No. 14); the cell edges are 7.456, 7.957 and 12.674 Å and the angles 90.00°, 125.30° and 90.00°. The asymmetric unit holds Tl at (0.230, 0.081, 0.248), Mo at (0.500, 0.000, 0.000), Br at (0.181, 0.180, 0.961), Br at (0.281, 0.731, 0.962) and Br at (0.336, 0.013, 0.759).